No. 1
Computed, not measured: an optimized crystal structure of Ba2Pt at the PBE-GGA level of DFT.

* total magnetic moment: 0.000 μB per atom
* total energy: -11.33 eV/cell
* ΔE_f: -0.4800 eV per atom
* calculated volume: 118.0 Å³/f.u.

Cell lengths 5.4819, 5.4819, 3.9273 Å; angles 90.00, 90.00, 90.00 degrees
Space group P4/mmm (No. 123)
Asymmetric unit:
Ba1 0.0000 0.5000 0.0000 x2
Pt1 0.0000 0.0000 0.5000 x1



No. 2
Computed, not measured: an optimized crystal structure of Cr2S2Cl at the PBE-GGA level of DFT.

* energy relative to the elements, uncorrected: -668 meV/atom
* total magnetic moment: 1.401 μB per atom
* total energy: -65.38 eV/cell
* calculated volume: 97.8 Å³/f.u.

Cell lengths 3.5432, 4.8763, 11.3189 Å; angles 90.00, 90.00, 90.00 degrees
Space group Immm (No. 71)
Asymmetric unit:
Cr1 0.0000 0.0000 0.1724 x4
S1 0.0000 0.5000 0.1889 x4
Cl1 0.0000 0.5000 0.5000 x2